## A
CaPdSe2: relaxed, GGA-PBEsol.

abc: 6.7608 6.7608 6.7608
angles: 90.00 90.00 90.00
Fractional coordinates of all 16 atoms:
Ca: 0.0000 0.0000 0.0000
Ca: 0.0000 0.5000 0.5000
Ca: 0.5000 0.0000 0.5000
Ca: 0.5000 0.5000 0.0000
Pd: 0.0000 0.0000 0.5000
Pd: 0.0000 0.5000 0.0000
Pd: 0.5000 0.0000 0.0000
Pd: 0.5000 0.5000 0.5000
Se: 0.2500 0.2500 0.2500
Se: 0.2500 0.2500 0.7500
Se: 0.2500 0.7500 0.2500
Se: 0.2500 0.7500 0.7500
Se: 0.7500 0.2500 0.2500
Se: 0.7500 0.2500 0.7500
Se: 0.7500 0.7500 0.2500
Se: 0.7500 0.7500 0.7500

Calculated values
DOS at the Fermi energy   4.826 states/eV/f.u.

## B
CaPdSe2: relaxed, GGA-PBEsol.

abc: 3.8124 3.8124 24.4713
angles: 90.00 90.00 120.00
Fractional coordinates of all 12 atoms:
Ca: 0.0000 0.0000 0.0000
Ca: 0.3333 0.6667 0.6667
Ca: 0.6667 0.3333 0.3333
Pd: 0.0000 0.0000 0.5000
Pd: 0.3333 0.6667 0.1667
Pd: 0.6667 0.3333 0.8333
Se: 0.0000 0.0000 0.1147
Se: 0.0000 0.0000 0.8853
Se: 0.3333 0.6667 0.5520
Se: 0.3333 0.6667 0.7813
Se: 0.6667 0.3333 0.2187
Se: 0.6667 0.3333 0.4480

Calculated values
DOS at the Fermi energy   2.806 states/eV/f.u.

Verdict on stability: B comes out at the bottom.

## A
SrCa2Pd2: relaxed, GGA-PBEsol.

abc: 7.8849 7.8849 4.1254
angles: 90.00 90.00 90.00
Fractional coordinates of all 10 atoms:
Sr: 0.0000 0.0000 0.0000
Sr: 0.5000 0.5000 0.0000
Ca: 0.1567 0.3433 0.5000
Ca: 0.3433 0.8433 0.5000
Ca: 0.6567 0.1567 0.5000
Ca: 0.8433 0.6567 0.5000
Pd: 0.1252 0.6252 0.0000
Pd: 0.3748 0.1252 0.0000
Pd: 0.6252 0.8748 0.0000
Pd: 0.8748 0.3748 0.0000

Calculated values
DOS at the Fermi energy   1.596 states/eV/f.u.

## B
SrCa2Pd2: relaxed, GGA-PBEsol.

abc: 4.6324 4.6324 12.4471
angles: 90.00 90.00 90.00
Fractional coordinates of all 10 atoms:
Sr: 0.0000 0.0000 0.0000
Sr: 0.5000 0.5000 0.5000
Ca: 0.0000 0.5000 0.2500
Ca: 0.0000 0.5000 0.7500
Ca: 0.5000 0.0000 0.2500
Ca: 0.5000 0.0000 0.7500
Pd: 0.0000 0.0000 0.3952
Pd: 0.0000 0.0000 0.6048
Pd: 0.5000 0.5000 0.1048
Pd: 0.5000 0.5000 0.8952

Calculated values
DOS at the Fermi energy   2.759 states/eV/f.u.

Verdict on stability: B comes out at the bottom.

## A
CaTl2Pd2: relaxed, GGA-PBEsol.

abc: 4.1379 4.1379 12.9083
angles: 90.00 90.00 90.00
Fractional coordinates of all 10 atoms:
Ca: 0.0000 0.0000 0.0000
Ca: 0.5000 0.5000 0.5000
Tl: 0.0000 0.0000 0.3842
Tl: 0.0000 0.0000 0.6158
Tl: 0.5000 0.5000 0.1158
Tl: 0.5000 0.5000 0.8842
Pd: 0.0000 0.5000 0.2500
Pd: 0.0000 0.5000 0.7500
Pd: 0.5000 0.0000 0.2500
Pd: 0.5000 0.0000 0.7500

Calculated values
DOS at the Fermi energy   1.797 states/eV/f.u.

## B
CaTl2Pd2: relaxed, GGA-PBEsol.

abc: 7.5934 7.5934 3.5648
angles: 90.00 90.00 90.00
Fractional coordinates of all 10 atoms:
Ca: 0.0000 0.0000 0.0000
Ca: 0.5000 0.5000 0.0000
Tl: 0.1612 0.3388 0.5000
Tl: 0.3388 0.8388 0.5000
Tl: 0.6612 0.1612 0.5000
Tl: 0.8388 0.6612 0.5000
Pd: 0.1342 0.6342 0.0000
Pd: 0.3658 0.1342 0.0000
Pd: 0.6342 0.8658 0.0000
Pd: 0.8658 0.3658 0.0000

Calculated values
DOS at the Fermi energy   1.775 states/eV/f.u.

Verdict on stability: A comes out at the bottom.

## A
CaZn2Pd2: relaxed, GGA-PBEsol.

abc: 4.0022 4.0022 11.3491
angles: 90.00 90.00 90.00
Fractional coordinates of all 10 atoms:
Ca: 0.0000 0.0000 0.0000
Ca: 0.5000 0.5000 0.5000
Zn: 0.0000 0.5000 0.2500
Zn: 0.0000 0.5000 0.7500
Zn: 0.5000 0.0000 0.2500
Zn: 0.5000 0.0000 0.7500
Pd: 0.0000 0.0000 0.3854
Pd: 0.0000 0.0000 0.6146
Pd: 0.5000 0.5000 0.1146
Pd: 0.5000 0.5000 0.8854

Calculated values
DOS at the Fermi energy   1.579 states/eV/f.u.

## B
CaZn2Pd2: relaxed, GGA-PBEsol.

abc: 7.5035 7.5035 2.8992
angles: 90.00 90.00 90.00
Fractional coordinates of all 10 atoms:
Ca: 0.0000 0.0000 0.0000
Ca: 0.5000 0.5000 0.0000
Zn: 0.1387 0.3613 0.5000
Zn: 0.3613 0.8613 0.5000
Zn: 0.6387 0.1387 0.5000
Zn: 0.8613 0.6387 0.5000
Pd: 0.1550 0.6550 0.0000
Pd: 0.3450 0.1550 0.0000
Pd: 0.6550 0.8450 0.0000
Pd: 0.8450 0.3450 0.0000

Calculated values
DOS at the Fermi energy   1.367 states/eV/f.u.

Verdict on stability: A comes out at the bottom.

## A
CaPtRh2: relaxed, GGA-PBEsol.

abc: 4.0175 4.0175 7.8496
angles: 90.00 90.00 90.00
Fractional coordinates of all 8 atoms:
Ca: 0.0000 0.0000 0.0000
Ca: 0.5000 0.5000 0.5000
Pt: 0.0000 0.0000 0.5000
Pt: 0.5000 0.5000 0.0000
Rh: 0.0000 0.5000 0.2500
Rh: 0.0000 0.5000 0.7500
Rh: 0.5000 0.0000 0.2500
Rh: 0.5000 0.0000 0.7500

Calculated values
DOS at the Fermi energy   4.742 states/eV/f.u.

## B
CaPtRh2: relaxed, GGA-PBEsol.

abc: 3.2552 3.2552 6.3609
angles: 90.00 90.00 90.00
Fractional coordinates of all 4 atoms:
Ca: 0.0000 0.0000 0.0000
Pt: 0.5000 0.5000 0.2889
Rh: 0.0000 0.0000 0.5072
Rh: 0.5000 0.5000 0.7027

Calculated values
DOS at the Fermi energy   4.423 states/eV/f.u.

## C
CaPtRh2: relaxed, GGA-PBEsol.

abc: 3.9866 3.9866 7.9719
angles: 90.00 90.00 90.00
Fractional coordinates of all 8 atoms:
Ca: 0.0000 0.0000 0.0000
Ca: 0.5000 0.5000 0.5000
Pt: 0.0000 0.5000 0.2500
Pt: 0.5000 0.0000 0.7500
Rh: 0.0000 0.0000 0.5000
Rh: 0.0000 0.5000 0.7500
Rh: 0.5000 0.0000 0.2500
Rh: 0.5000 0.5000 0.0000

Calculated values
DOS at the Fermi energy   4.255 states/eV/f.u.

## D
CaPtRh2: relaxed, GGA-PBEsol.

abc: 2.8590 2.8590 7.9642
angles: 90.00 90.00 90.00
Fractional coordinates of all 4 atoms:
Ca: 0.0000 0.0000 0.0000
Pt: 0.0000 0.0000 0.5000
Rh: 0.5000 0.5000 0.2798
Rh: 0.5000 0.5000 0.7202

Calculated values
DOS at the Fermi energy   3.632 states/eV/f.u.

Verdict on stability: D comes out at the bottom.

## A
SrCa2Pt: relaxed, GGA-PBEsol.

abc: 3.6645 5.6113 12.3823
angles: 90.00 90.00 90.00
Fractional coordinates of all 8 atoms:
Sr: 0.0000 0.0000 0.0000
Sr: 0.5000 0.5000 0.5000
Ca: 0.0000 0.5000 0.1769
Ca: 0.0000 0.5000 0.8231
Ca: 0.5000 0.0000 0.3231
Ca: 0.5000 0.0000 0.6769
Pt: 0.0000 0.0000 0.5000
Pt: 0.5000 0.5000 0.0000

Calculated values
DOS at the Fermi energy   3.668 states/eV/f.u.

## B
SrCa2Pt: relaxed, GGA-PBEsol.

abc: 4.6600 4.6600 10.2963
angles: 90.00 90.00 90.00
Fractional coordinates of all 8 atoms:
Sr: 0.0000 0.0000 0.0000
Sr: 0.5000 0.5000 0.5000
Ca: 0.0000 0.5000 0.2500
Ca: 0.0000 0.5000 0.7500
Ca: 0.5000 0.0000 0.2500
Ca: 0.5000 0.0000 0.7500
Pt: 0.0000 0.0000 0.5000
Pt: 0.5000 0.5000 0.0000

Calculated values
DOS at the Fermi energy   2.301 states/eV/f.u.

Verdict on stability: B comes out at the bottom.

## A
SrCa3Pt: relaxed, GGA-PBEsol.

abc: 9.2570 9.2570 4.1697
angles: 90.00 90.00 110.56
Fractional coordinates of all 10 atoms:
Sr: 0.2012 0.7988 0.0000
Sr: 0.7988 0.2012 0.0000
Ca: 0.0000 0.0000 0.5000
Ca: 0.1661 0.4110 0.5000
Ca: 0.4110 0.1661 0.5000
Ca: 0.5000 0.5000 0.0000
Ca: 0.5890 0.8339 0.5000
Ca: 0.8339 0.5890 0.5000
Pt: 0.2093 0.2093 0.0000
Pt: 0.7907 0.7907 0.0000

Calculated values
DOS at the Fermi energy   2.698 states/eV/f.u.

## B
SrCa3Pt: relaxed, GGA-PBEsol.

abc: 5.6357 5.6357 5.6357
angles: 90.00 90.00 90.00
Fractional coordinates of all 5 atoms:
Sr: 0.0000 0.0000 0.0000
Ca: 0.0000 0.5000 0.5000
Ca: 0.5000 0.0000 0.5000
Ca: 0.5000 0.5000 0.0000
Pt: 0.5000 0.5000 0.5000

Calculated values
DOS at the Fermi energy   3.232 states/eV/f.u.

Verdict on stability: B comes out at the bottom.

## A
SrCa2Pt2: relaxed, GGA-PBEsol.

abc: 4.5667 4.5667 12.4078
angles: 90.00 90.00 90.00
Fractional coordinates of all 10 atoms:
Sr: 0.0000 0.0000 0.0000
Sr: 0.5000 0.5000 0.5000
Ca: 0.0000 0.5000 0.2500
Ca: 0.0000 0.5000 0.7500
Ca: 0.5000 0.0000 0.2500
Ca: 0.5000 0.0000 0.7500
Pt: 0.0000 0.0000 0.3957
Pt: 0.0000 0.0000 0.6043
Pt: 0.5000 0.5000 0.1043
Pt: 0.5000 0.5000 0.8957

Calculated values
DOS at the Fermi energy   2.159 states/eV/f.u.

## B
SrCa2Pt2: relaxed, GGA-PBEsol.

abc: 7.7830 7.7830 4.1110
angles: 90.00 90.00 90.00
Fractional coordinates of all 10 atoms:
Sr: 0.0000 0.0000 0.0000
Sr: 0.5000 0.5000 0.0000
Ca: 0.1588 0.3412 0.5000
Ca: 0.3412 0.8412 0.5000
Ca: 0.6588 0.1588 0.5000
Ca: 0.8412 0.6588 0.5000
Pt: 0.1248 0.6248 0.0000
Pt: 0.3752 0.1248 0.0000
Pt: 0.6248 0.8752 0.0000
Pt: 0.8752 0.3752 0.0000

Calculated values
DOS at the Fermi energy   1.025 states/eV/f.u.

Verdict on stability: A comes out at the bottom.

## A
CaTa2Pt: relaxed, GGA-PBEsol.

abc: 2.9133 2.9513 8.8960
angles: 90.00 90.00 90.00
Fractional coordinates of all 4 atoms:
Ca: 0.0000 0.0000 0.0000
Ta: 0.0000 0.0000 0.5492
Ta: 0.5000 0.5000 0.3123
Pt: 0.5000 0.5000 0.7521

Calculated values
DOS at the Fermi energy   4.584 states/eV/f.u.

## B
CaTa2Pt: relaxed, GGA-PBEsol.

abc: 2.8778 4.8638 11.0925
angles: 90.00 90.00 90.00
Fractional coordinates of all 8 atoms:
Ca: 0.0000 0.0000 0.0000
Ca: 0.5000 0.5000 0.5000
Ta: 0.0000 0.5000 0.2142
Ta: 0.0000 0.5000 0.7858
Ta: 0.5000 0.0000 0.2858
Ta: 0.5000 0.0000 0.7142
Pt: 0.0000 0.0000 0.5000
Pt: 0.5000 0.5000 0.0000

Calculated values
DOS at the Fermi energy   3.703 states/eV/f.u.

Verdict on stability: B comes out at the bottom.

## A
Ca2TaPt: relaxed, GGA-PBEsol.

abc: 4.0337 4.0337 10.0148
angles: 90.00 90.00 90.00
Fractional coordinates of all 8 atoms:
Ca: 0.0000 0.5000 0.2500
Ca: 0.0000 0.5000 0.7500
Ca: 0.5000 0.0000 0.2500
Ca: 0.5000 0.0000 0.7500
Ta: 0.0000 0.0000 0.0000
Ta: 0.5000 0.5000 0.5000
Pt: 0.0000 0.0000 0.5000
Pt: 0.5000 0.5000 0.0000

Calculated values
DOS at the Fermi energy   5.076 states/eV/f.u.

## B
Ca2TaPt: relaxed, GGA-PBEsol.

abc: 3.3695 3.3695 8.9520
angles: 90.00 90.00 90.00
Fractional coordinates of all 4 atoms:
Ca: 0.0000 0.0000 0.0000
Ca: 0.5000 0.5000 0.3718
Ta: 0.5000 0.5000 0.7379
Pt: 0.0000 0.0000 0.6132

Calculated values
DOS at the Fermi energy   4.404 states/eV/f.u.

Verdict on stability: A comes out at the bottom.

## A
Ca2TcPt: relaxed, GGA-PBEsol.

abc: 2.8899 4.9499 5.4250
angles: 90.00 90.13 90.00
Fractional coordinates of all 4 atoms:
Ca: 0.0000 0.0000 0.0000
Ca: 0.0033 0.5000 0.6594
Tc: 0.5019 0.0000 0.4642
Pt: 0.5015 0.5000 0.1935

Calculated values
DOS at the Fermi energy   4.616 states/eV/f.u.

## B
Ca2TcPt: relaxed, GGA-PBEsol.

abc: 3.3240 3.3240 8.5595
angles: 90.00 90.00 90.00
Fractional coordinates of all 4 atoms:
Ca: 0.0000 0.0000 0.0000
Ca: 0.5000 0.5000 0.3998
Tc: 0.5000 0.5000 0.7589
Pt: 0.0000 0.0000 0.6303

Calculated values
DOS at the Fermi energy   5.931 states/eV/f.u.

Verdict on stability: A comes out at the bottom.

## A
CaPt2W: relaxed, GGA-PBEsol.

abc: 2.7867 4.1545 6.1389
angles: 90.00 90.00 90.00
Fractional coordinates of all 4 atoms:
Ca: 0.0000 0.0000 0.0000
Pt: 0.0000 0.0000 0.5010
Pt: 0.5000 0.5000 0.2355
W: 0.5000 0.5000 0.6563

Calculated values
DOS at the Fermi energy   3.750 states/eV/f.u.

## B
CaPt2W: relaxed, GGA-PBEsol.

abc: 6.4073 6.4073 6.4073
angles: 90.00 90.00 90.00
Fractional coordinates of all 16 atoms:
Ca: 0.0000 0.0000 0.0000
Ca: 0.0000 0.5000 0.5000
Ca: 0.5000 0.0000 0.5000
Ca: 0.5000 0.5000 0.0000
Pt: 0.0000 0.0000 0.5000
Pt: 0.0000 0.5000 0.0000
Pt: 0.2500 0.2500 0.7500
Pt: 0.2500 0.7500 0.2500
Pt: 0.5000 0.0000 0.0000
Pt: 0.5000 0.5000 0.5000
Pt: 0.7500 0.2500 0.2500
Pt: 0.7500 0.7500 0.7500
W: 0.2500 0.2500 0.2500
W: 0.2500 0.7500 0.7500
W: 0.7500 0.2500 0.7500
W: 0.7500 0.7500 0.2500

Verdict on stability: B comes out at the bottom.